No. 1
{"formula": "Ce2EuAl", "functional": "PBE", "state": "relaxed", "cell": [[4.798, 0.000, 0.000], [0.000, 4.782, 0.000], [0.000, 0.000, 4.782]], "species": ["Al", "Eu", "Ce", "Ce"], "fractional_positions": [[0.500, 0.000, 0.000], [0.500, 0.500, 0.500], [0.000, 0.500, 0.000], [0.000, 0.000, 0.500]], "magnetic_moment_mub_per_cell": 9.287, "delta_e_f_ev_per_atom": -0.045, "volume_a3_per_cell": 109.72, "spacegroup": "No. 123", "e_tot_ev_per_atom": -6.516, "de_polymorph_mev_per_atom": 0}

=====

No. 2
{"formula": "AgMoRu2", "functional": "PBE", "state": "relaxed", "cell": [[-4.220, 0.753, -2.408], [-0.248, -2.465, -4.246], [1.121, -1.259, 4.618]], "species": ["Mo", "Ru", "Ru", "Ag"], "fractional_positions": [[0.750, 0.250, 0.500], [0.000, 0.000, 0.000], [0.250, 0.750, 0.500], [0.500, 0.500, 0.000]], "magnetic_moment_mub_per_cell": 0.001, "delta_e_f_ev_per_atom": 0.442, "volume_a3_per_cell": 60.46, "spacegroup": "No. 119", "e_tot_ev_per_atom": -7.616, "de_polymorph_mev_per_atom": 243}

=====

No. 3
{"formula": "TbNdSm2Se4", "functional": "PBE", "state": "relaxed", "cell": [[-3.622, -0.804, -1.792], [3.368, -1.198, -6.269], [1.771, -7.054, -0.416]], "species": ["Nd", "Se", "Se", "Se", "Se", "Sm", "Sm", "Tb"], "fractional_positions": [[0.500, 0.500, 0.000], [0.000, 0.751, 0.744], [0.000, 0.249, 0.256], [0.500, 0.747, 0.257], [0.500, 0.253, 0.743], [0.000, 0.000, 0.000], [0.500, 0.000, 0.500], [0.000, 0.500, 0.500]], "magnetic_moment_mub_per_cell": 0.000, "raw_formation_energy_kj_per_mol_atoms": -174, "volume_a3_per_cell": 204.95, "spacegroup": "No. 10", "e_tot_ev_per_atom": -5.904}

=====

No. 4
{"formula": "LiPmNdAg", "functional": "PBE", "state": "relaxed", "cell": [[5.319, 0.000, 0.000], [2.659, 4.606, 0.000], [2.659, 1.535, 4.343]], "species": ["Ag", "Li", "Nd", "Pm"], "fractional_positions": [[0.250, 0.250, 0.250], [0.750, 0.750, 0.750], [0.500, 0.500, 0.500], [0.000, 0.000, 0.000]], "magnetic_moment_mub_per_cell": 0.462, "delta_e_f_ev_per_atom": -0.059, "volume_a3_per_cell": 106.39, "spacegroup": "No. 216", "e_tot_ev_per_atom": -3.630}